[1]
GeTeCI2 | Alexandria via LeMat-Bulk | GGA-PBE | relaxed; E above lowest polymorph = 0 meV/atom; energy relative to the elements, uncorrected = 1.13 eV per atom
1.0
-2.623 2.846 3.269
3.031 -1.527 3.761
2.962 3.731 -0.872
Ge Te C I
1 1 1 2
Cartesian
1.685 2.525 3.079
1.481 1.866 -0.436
0.000 0.000 0.000
-1.311 1.423 1.634
1.515 -0.763 1.881

---

[2]
RbNaHg14 | Alexandria via LeMat-Bulk | GGA-PBE | relaxed; energy relative to the elements = -0.089 eV per atom
1.0
10.818 0.000 4.814
5.444 9.321 2.330
1.735 -2.290 10.662
Hg Rb Na
28 2 2
Cartesian
8.114 4.691 5.772
15.122 7.680 9.705
10.405 1.015 5.743
10.876 0.418 14.128
15.933 6.875 15.186
11.906 2.043 9.628
14.399 5.179 11.329
7.122 6.613 3.678
8.620 0.403 9.753
6.081 2.340 10.341
9.377 6.628 8.053
6.092 4.988 8.178
11.483 4.988 10.577
6.514 2.042 7.229
14.137 6.613 6.800
10.507 6.875 12.771
7.593 6.016 12.063
4.750 -0.374 3.889
2.875 -0.649 8.101
7.491 0.156 5.034
9.497 2.768 7.782
3.598 1.851 6.477
3.860 0.418 11.006
11.917 4.691 7.465
9.883 2.340 12.034
2.064 0.156 2.619
8.500 4.263 10.024
13.247 7.405 13.917
12.981 3.654 14.517
5.017 3.377 3.289
6.277 -1.145 7.738
0.868 -1.145 5.331

---

[3]
Cr2FeTeMo | Alexandria via LeMat-Bulk | GGA-PBE | relaxed; energy relative to the elements, uncorrected = 1.32 eV per atom
1.0
-3.303 -0.516 -2.549
-2.555 -1.467 3.608
-1.202 3.957 0.757
Cr Te Mo Fe
2 1 1 1
Cartesian
-1.652 -0.258 -1.275
-0.601 1.978 0.379
-1.278 -0.733 1.804
-3.530 0.987 0.908
0.000 0.000 0.000

---

[4]
TiSiS3 | Alexandria via LeMat-Bulk | GGA-PBE | relaxed; E above lowest polymorph = 0 meV/atom; energy relative to the elements, uncorrected = -0.67 eV per atom
1.0
-0.737 0.382 -3.585
2.391 -5.674 -1.095
-8.811 -4.338 3.237
Ti S Si
2 6 2
Cartesian
-5.214 -8.371 -1.708
-1.017 -3.455 -0.159
-6.124 -7.847 0.423
-3.893 -6.551 -1.786
-6.524 -4.608 -1.039
-3.204 -3.220 0.316
-0.399 -5.575 -0.511
-1.022 -1.808 -1.871
-3.258 -1.366 -1.365
-4.916 -5.849 0.388

---

[5]
TmBiRuRh | Alexandria via LeMat-Bulk | GGA-PBE | relaxed; energy relative to the elements = -0.351 eV per atom
1.0
-3.796 1.687 2.292
-4.357 -1.324 -1.331
-2.561 -2.869 2.780
Ru Bi Rh Tm
1 1 1 1
Cartesian
-8.036 -1.880 2.806
-5.357 -1.253 1.870
-2.679 -0.627 0.935
0.000 0.000 0.000

---

[6]
Zn2H2W | Alexandria via LeMat-Bulk | GGA-PBE | relaxed; E above lowest polymorph = 141 meV/atom
1.0
-0.936 0.132 -2.577
2.201 -1.391 -0.870
-2.780 -6.614 -0.790
Zn H W
2 2 1
Cartesian
-1.139 -5.475 -2.790
-0.376 -2.398 -1.448
-1.542 -3.556 -2.546
0.027 -4.317 -1.692
0.000 0.000 0.000

---

These records have E_tot values of -2.8833 -0.4963 -7.0119 -5.8060 -6.5959 -3.9593 eV per atom, in the order they appear.